Density functional theory data (PBE) for a geometry-optimized ThUMn4 structure.

The space group is F-43m (No. 216) and the conventional cell measures 7.2702, 7.2702 and 7.2702 Å, with angles of 90.00, 90.00 and 90.00 degrees. The inequivalent atoms are Th at (0.0000, 0.0000, 0.0000), U at (0.2500, 0.2500, 0.7500) and Mn at (0.1242, 0.1242, 0.3758).

The value obtained for the formation enthalpy at 0 K is 0.070 eV/atom. The total moment comes out at 20.44 Bohr magnetons per cell. As for the total energy: -219.9 eV for the cell shown.